1.
Here is an optimized crystal structure of AcAlAu from the Alexandria database. Energies are from PBE.

The structure in POSCAR format:
```
AcAlAu
1.0
11.114 0.000 0.000
0.000 4.710 0.000
-5.289 0.000 5.898
Ac Al Au
4 4 4
Cartesian
-1.149 0.000 1.830
1.417 2.355 4.069
4.408 2.355 1.830
6.974 0.000 4.069
1.256 2.355 0.564
-0.988 0.000 5.334
6.813 0.000 0.564
4.569 2.355 5.334
-1.840 2.355 4.367
2.108 0.000 1.531
3.717 0.000 4.367
7.665 2.355 1.531
```

Properties
Formation enthalpy at 0 K, eV/atom: -0.65
Total energy, eV per atom: -4.3626
D(E_F), states/eV/cell: 9.20
E above lowest polymorph, meV per atom: 8



2.
Here is an optimized crystal structure of Ac3Al2Au6 from the Alexandria database. Energies are from PBE.

The structure in POSCAR format:
```
Ac3Al2Au6
1.0
-2.319 2.319 13.877
2.319 -2.319 13.877
2.319 2.319 -13.877
Ac Al Au
3 2 6
Cartesian
0.000 0.000 0.000
0.000 0.000 4.811
0.000 0.000 22.943
0.000 0.000 10.610
0.000 0.000 17.144
2.319 0.000 2.270
0.000 0.000 8.033
2.319 0.000 11.607
0.000 2.319 2.270
0.000 0.000 19.721
0.000 2.319 11.607
```

Properties
Formation enthalpy at 0 K, eV/atom: -0.61
Total energy, eV per atom: -4.1950
D(E_F), states/eV/cell: 7.15



3.
Here is an optimized crystal structure of AcAl4Au4 from the Alexandria database. Energies are from PBE.

The structure in POSCAR format:
```
AcAl4Au4
1.0
6.423 0.000 0.000
0.000 6.423 0.000
0.000 0.000 8.858
Ac Al Au
2 8 8
Cartesian
1.606 4.817 2.214
4.817 1.606 6.643
0.127 1.606 1.226
1.606 0.127 5.655
1.606 3.084 5.655
3.084 1.606 1.226
3.339 4.817 7.632
4.817 3.339 3.203
4.817 6.296 3.203
6.296 4.817 7.632
0.212 1.606 3.827
1.606 0.212 8.256
1.606 3.000 8.256
3.000 1.606 3.827
3.424 4.817 5.030
4.817 3.424 0.602
4.817 6.211 0.602
6.211 4.817 5.030
```

Properties
Formation enthalpy at 0 K, eV/atom: -0.59
Total energy, eV per atom: -4.1619
D(E_F), states/eV/cell: 7.94



4.
Here is an optimized crystal structure of AcAl2Au2 from the Alexandria database. Energies are from PBE.

The structure in POSCAR format:
```
AcAl2Au2
1.0
4.406 0.000 0.000
0.000 4.406 0.000
0.000 0.000 11.498
Ac Al Au
2 4 4
Cartesian
0.000 0.000 0.000
2.203 2.203 5.749
0.000 2.203 2.875
0.000 2.203 8.624
2.203 0.000 2.875
2.203 0.000 8.624
0.000 0.000 4.299
0.000 0.000 7.199
2.203 2.203 1.450
2.203 2.203 10.048
```

Properties
Formation enthalpy at 0 K, eV/atom: -0.74
Total energy, eV per atom: -4.3702
D(E_F), states/eV/cell: 4.61
E above lowest polymorph, meV per atom: 0



5.
Here is an optimized crystal structure of Ac5AlAu2 from the Alexandria database. Energies are from PBE.

The structure in POSCAR format:
```
Ac5AlAu2
1.0
-4.361 4.361 7.203
4.361 -4.361 7.203
4.361 4.361 -7.203
Ac Al Au
10 2 4
Cartesian
0.000 0.000 0.000
5.745 1.384 -2.092
1.384 2.976 -2.092
5.745 1.384 2.092
1.384 2.976 2.092
0.000 0.000 7.203
2.976 1.384 5.111
-1.384 2.976 5.111
2.976 1.384 9.295
-1.384 2.976 9.295
0.000 0.000 3.601
0.000 0.000 10.804
3.197 1.164 0.000
3.197 -1.164 7.203
1.164 5.524 0.000
1.164 3.197 7.203
```

Properties
Formation enthalpy at 0 K, eV/atom: -0.44
Total energy, eV per atom: -4.2949
D(E_F), states/eV/cell: 18.90



6.
Here is an optimized crystal structure of Ac3AlAu2 from the Alexandria database. Energies are from PBE.

The structure in POSCAR format:
```
Ac3AlAu2
1.0
4.260 2.460 6.468
-4.260 2.460 6.468
0.000 -4.919 6.468
Ac Al Au
6 2 4
Cartesian
-3.027 -0.324 8.085
-1.233 -2.784 11.318
1.794 -2.460 8.085
-1.794 2.460 11.318
1.233 2.784 8.085
3.027 0.324 11.318
0.000 0.000 0.000
0.000 0.000 9.701
0.000 0.000 2.650
0.000 0.000 7.052
0.000 0.000 12.351
0.000 0.000 16.753
```

Properties
Formation enthalpy at 0 K, eV/atom: -0.51
Total energy, eV per atom: -4.2821
D(E_F), states/eV/cell: 15.13



7.
Here is an optimized crystal structure of AcAlAu from the Alexandria database. Energies are from PBE.

The structure in POSCAR format:
```
AcAlAu
1.0
3.581 0.000 0.000
0.000 3.581 0.000
0.000 0.000 11.670
Ac Al Au
2 2 2
Cartesian
0.000 0.000 0.000
1.790 1.790 5.835
0.000 0.000 3.468
1.790 1.790 9.303
0.000 0.000 8.127
1.790 1.790 2.292
```

Properties
Formation enthalpy at 0 K, eV/atom: -0.42
Total energy, eV per atom: -4.1292
D(E_F), states/eV/cell: 4.96
E above lowest polymorph, meV per atom: 241



8.
Here is an optimized crystal structure of Ac2Al7Au12 from the Alexandria database. Energies are from PBE.

The structure in POSCAR format:
```
Ac2Al7Au12
1.0
10.376 0.000 0.000
-5.188 8.986 0.000
0.000 0.000 4.417
Ac Al Au
2 7 12
Cartesian
0.000 0.000 0.000
0.000 5.991 2.208
-2.668 5.091 0.000
2.802 0.136 2.208
2.114 4.130 0.000
0.555 8.751 0.000
5.188 2.995 0.000
3.905 6.492 2.208
8.858 2.359 2.208
-3.756 6.899 2.208
-0.465 3.584 0.000
1.092 2.284 2.208
-1.851 7.597 0.000
3.001 1.577 0.000
3.573 3.878 2.208
5.232 1.156 2.208
2.316 6.791 0.000
2.664 8.789 2.208
5.053 5.599 0.000
7.510 1.810 0.000
6.759 3.953 2.208
```

Properties
Formation enthalpy at 0 K, eV/atom: -0.53
Total energy, eV per atom: -4.0432
D(E_F), states/eV/cell: 12.92



9.
Here is an optimized crystal structure of Ac8AlAu6 from the Alexandria database. Energies are from PBE.

The structure in POSCAR format:
```
Ac8AlAu6
1.0
4.772 2.755 6.486
-4.772 2.755 6.486
0.000 -5.510 6.486
Ac Al Au
8 1 6
Cartesian
-2.653 0.157 7.783
0.000 0.000 3.383
-1.462 -2.219 11.675
1.191 -2.376 7.783
-1.191 2.376 11.675
1.462 2.219 7.783
0.000 0.000 16.074
2.653 -0.157 11.675
0.000 0.000 9.729
-1.857 -3.144 8.401
-3.651 0.037 11.057
-1.794 3.180 8.401
1.794 -3.180 11.057
3.651 -0.037 8.401
1.857 3.144 11.057
```

Properties
Formation enthalpy at 0 K, eV/atom: -0.58
Total energy, eV per atom: -4.3310
D(E_F), states/eV/cell: 14.65



10.
Here is an optimized crystal structure of AcAlAu from the Alexandria database. Energies are from PBE.

The structure in POSCAR format:
```
AcAlAu
1.0
7.074 0.000 0.000
0.000 7.074 0.000
0.000 0.000 7.074
Ac Al Au
4 4 4
Cartesian
0.000 0.000 0.000
0.000 3.537 3.537
3.537 0.000 3.537
3.537 3.537 0.000
0.000 0.000 3.537
0.000 3.537 0.000
3.537 0.000 0.000
3.537 3.537 3.537
1.769 1.769 1.769
1.769 5.306 5.306
5.306 1.769 5.306
5.306 5.306 1.769
```

Properties
Formation enthalpy at 0 K, eV/atom: -0.45
Total energy, eV per atom: -4.1574
D(E_F), states/eV/cell: 20.09
E above lowest polymorph, meV per atom: 213



11.
Here is an optimized crystal structure of AcAlAu from the Alexandria database. Energies are from PBE.

The structure in POSCAR format:
```
AcAlAu
1.0
4.632 0.000 0.000
-2.316 4.011 0.000
0.000 0.000 4.327
Ac Al Au
1 1 1
Cartesian
0.000 0.000 0.000
2.316 1.337 2.163
0.000 2.674 2.163
```

Properties
Formation enthalpy at 0 K, eV/atom: -0.66
Total energy, eV per atom: -4.3706
D(E_F), states/eV/cell: 3.45
E above lowest polymorph, meV per atom: 0



12.
Here is an optimized crystal structure of AcAl2Au6 from the Alexandria database. Energies are from PBE.

The structure in POSCAR format:
```
AcAl2Au6
1.0
0.000 6.002 6.002
6.002 0.000 6.002
6.002 6.002 0.000
Ac Al Au
2 4 12
Cartesian
1.500 1.500 1.500
10.503 10.503 10.503
6.002 3.001 3.001
3.001 6.002 3.001
3.001 3.001 6.002
6.002 6.002 6.002
4.501 4.501 1.635
4.501 1.635 4.501
7.368 4.501 4.501
7.502 7.502 4.636
7.502 4.636 7.502
10.369 7.502 7.502
1.635 4.501 4.501
4.501 7.368 4.501
4.501 4.501 7.368
4.636 7.502 7.502
7.502 10.369 7.502
7.502 7.502 10.369
```

Properties
Formation enthalpy at 0 K, eV/atom: -0.26
Total energy, eV per atom: -3.7293
D(E_F), states/eV/cell: 12.32
E above lowest polymorph, meV per atom: 194



13.
Here is an optimized crystal structure of AcAl2Au5 from the Alexandria database. Energies are from PBE.

The structure in POSCAR format:
```
AcAl2Au5
1.0
4.304 0.000 0.000
0.000 7.194 0.000
0.000 0.000 10.854
Ac Al Au
2 4 10
Cartesian
0.000 0.000 0.000
2.152 3.597 5.427
0.000 3.597 2.577
0.000 3.597 8.277
2.152 0.000 2.850
2.152 0.000 8.005
0.000 1.452 3.904
0.000 1.452 6.951
0.000 3.597 0.000
0.000 5.742 3.904
0.000 5.742 6.951
2.152 0.000 5.427
2.152 2.145 1.524
2.152 2.145 9.331
2.152 5.049 1.524
2.152 5.049 9.331
```

Properties
Formation enthalpy at 0 K, eV/atom: -0.55
Total energy, eV per atom: -4.0455
D(E_F), states/eV/cell: 8.07



14.
Here is an optimized crystal structure of Ac4Al5Au2 from the Alexandria database. Energies are from PBE.

The structure in POSCAR format:
```
Ac4Al5Au2
1.0
7.470 0.000 0.000
0.000 4.236 0.000
-0.545 0.000 9.773
Ac Al Au
4 5 2
Cartesian
1.147 0.000 3.743
1.430 0.000 9.133
5.495 0.000 0.640
5.778 0.000 6.029
1.198 2.118 6.474
3.212 2.118 2.041
3.462 2.118 4.886
3.712 2.118 7.732
5.726 2.118 3.298
0.459 2.118 1.430
6.466 2.118 8.342
```

Properties
Formation enthalpy at 0 K, eV/atom: -0.38
Total energy, eV per atom: -4.1750
D(E_F), states/eV/cell: 8.15



15.
Here is an optimized crystal structure of Ac4Al3Au5 from the Alexandria database. Energies are from PBE.

The structure in POSCAR format:
```
Ac4Al3Au5
1.0
7.877 -2.361 0.000
7.877 2.361 0.000
-4.924 0.000 9.484
Ac Al Au
4 3 5
Cartesian
-0.838 0.000 3.327
0.093 0.000 7.324
10.735 0.000 2.160
11.667 0.000 6.157
0.000 0.000 0.000
5.503 0.000 1.062
5.326 0.000 8.422
2.184 0.000 4.461
4.791 0.000 3.465
7.877 0.000 0.000
6.038 0.000 6.019
8.645 0.000 5.023
```

Properties
Formation enthalpy at 0 K, eV/atom: -0.49
Total energy, eV per atom: -4.1604
D(E_F), states/eV/cell: 8.66



16.
Here is an optimized crystal structure of Ac2Al2Au5 from the Alexandria database. Energies are from PBE.

The structure in POSCAR format:
```
Ac2Al2Au5
1.0
4.911 0.000 0.000
0.000 4.911 0.000
0.000 0.000 8.726
Ac Al Au
2 2 5
Cartesian
0.000 0.000 0.000
0.000 0.000 4.363
2.456 2.456 1.405
2.456 2.456 7.322
0.000 2.456 2.242
0.000 2.456 6.485
2.456 0.000 2.242
2.456 0.000 6.485
2.456 2.456 4.363
```

Properties
Formation enthalpy at 0 K, eV/atom: -0.65
Total energy, eV per atom: -4.2133
D(E_F), states/eV/cell: 3.39



17.
Here is an optimized crystal structure of AcAl3Au4 from the Alexandria database. Energies are from PBE.

The structure in POSCAR format:
```
AcAl3Au4
1.0
4.501 0.000 0.000
0.000 4.501 0.000
0.000 0.000 8.288
Ac Al Au
1 3 4
Cartesian
0.000 0.000 0.000
0.000 0.000 4.144
2.251 2.251 1.355
2.251 2.251 6.934
0.000 2.251 2.669
0.000 2.251 5.619
2.251 0.000 2.669
2.251 0.000 5.619
```

Properties
Formation enthalpy at 0 K, eV/atom: -0.54
Total energy, eV per atom: -4.0952
D(E_F), states/eV/cell: 4.87



18.
Here is an optimized crystal structure of AcAl4Au3 from the Alexandria database. Energies are from PBE.

The structure in POSCAR format:
```
AcAl4Au3
1.0
4.344 0.000 0.000
0.000 4.344 0.000
0.000 0.000 8.846
Ac Al Au
1 4 3
Cartesian
0.000 0.000 0.000
0.000 2.172 2.928
0.000 2.172 5.919
2.172 0.000 2.928
2.172 0.000 5.919
0.000 0.000 4.423
2.172 2.172 1.447
2.172 2.172 7.399
```

Properties
Formation enthalpy at 0 K, eV/atom: -0.63
Total energy, eV per atom: -4.2428
D(E_F), states/eV/cell: 2.93



19.
Here is an optimized crystal structure of AcAl2Au2 from the Alexandria database. Energies are from PBE.

The structure in POSCAR format:
```
AcAl2Au2
1.0
4.572 0.000 0.000
0.000 4.572 0.000
0.000 0.000 10.577
Ac Al Au
2 4 4
Cartesian
1.143 1.143 2.615
3.429 3.429 7.961
1.143 1.143 9.231
1.143 3.429 5.288
3.429 1.143 5.288
3.429 3.429 1.345
1.143 1.143 6.635
1.143 3.429 0.000
3.429 1.143 0.000
3.429 3.429 3.942
```

Properties
Formation enthalpy at 0 K, eV/atom: -0.74
Total energy, eV per atom: -4.3649
D(E_F), states/eV/cell: 5.31
E above lowest polymorph, meV per atom: 5



20.
Here is an optimized crystal structure of AcAlAu from the Alexandria database. Energies are from PBE.

The structure in POSCAR format:
```
AcAlAu
1.0
3.845 0.000 0.000
0.000 5.562 0.000
0.000 0.000 3.936
Ac Al Au
1 1 1
Cartesian
0.000 0.000 0.000
0.000 2.781 1.974
1.922 2.781 0.014
```

Properties
Formation enthalpy at 0 K, eV/atom: -0.30
Total energy, eV per atom: -4.0099
D(E_F), states/eV/cell: 2.52
E above lowest polymorph, meV per atom: 361



21.
Here is an optimized crystal structure of Ac3AlAu3 from the Alexandria database. Energies are from PBE.

The structure in POSCAR format:
```
Ac3AlAu3
1.0
9.367 0.000 0.000
-4.683 8.112 0.000
0.000 0.000 6.286
Ac Al Au
6 2 6
Cartesian
-2.680 5.680 1.571
1.104 2.950 1.571
3.107 0.519 4.714
1.576 7.593 1.571
3.579 5.161 4.714
7.364 2.432 4.714
0.000 5.408 4.714
4.683 2.704 1.571
-2.594 5.612 4.714
1.120 3.059 4.714
3.209 0.559 1.571
1.474 7.552 4.714
3.563 5.053 1.571
7.278 2.500 1.571
```

Properties
Formation enthalpy at 0 K, eV/atom: -0.56
Total energy, eV per atom: -4.2618
D(E_F), states/eV/cell: 16.68
E above lowest polymorph, meV per atom: 171



22.
Here is an optimized crystal structure of AcAlAu2 from the Alexandria database. Energies are from PBE.

The structure in POSCAR format:
```
AcAlAu2
1.0
4.616 0.000 0.000
0.000 4.616 0.000
0.000 0.000 20.286
Ac Al Au
4 4 8
Cartesian
0.225 4.363 0.000
0.253 0.225 5.072
4.363 4.391 15.215
4.391 0.253 10.143
1.909 2.000 16.898
2.000 2.707 11.827
2.616 1.909 1.684
2.707 2.616 6.755
0.309 2.311 2.574
2.008 2.020 14.388
2.020 2.609 9.317
2.305 0.309 7.645
2.311 4.307 17.788
2.596 2.008 19.460
2.609 2.596 4.245
4.307 2.305 12.717
```

Properties
Formation enthalpy at 0 K, eV/atom: -0.59
Total energy, eV per atom: -4.1869
D(E_F), states/eV/cell: 11.12